1.
Density functional theory data (PBE) for a relaxed SmTm9In2 crystal.

The structure in POSCAR format:
```
SmTm9In2
1.0
4.8190 0.0000 0.0000
0.0000 4.8190 0.0000
0.0000 0.0000 14.7584
Sm Tm In
1 9 2
Direct
0.0000 0.0000 0.0000
0.0000 0.5000 0.1737
0.0000 0.5000 0.5000
0.0000 0.5000 0.8263
0.5000 0.0000 0.1737
0.5000 0.0000 0.5000
0.5000 0.0000 0.8263
0.5000 0.5000 0.0000
0.5000 0.5000 0.3387
0.5000 0.5000 0.6613
0.0000 0.0000 0.3390
0.0000 0.0000 0.6610
```

Results
Uncorrected energy in Ry/atom: -0.3205
DOS at the Fermi energy in states/eV/atom: 1.017
DFT formation energy in eV/atom: -0.157
Volume in Å³/cell: 342.73


2.
Density functional theory data (PBE) for a relaxed SrAc2In3Te6 crystal.

The structure in POSCAR format:
```
SrAc2In3Te6
1.0
10.4709 -2.3584 0.0000
10.4709 2.3584 0.0000
-2.4588 0.0000 9.3260
Sr Ac In Te
1 2 3 6
Direct
0.0000 0.0000 0.0000
0.3340 0.3340 0.6725
0.6660 0.6660 0.3275
0.0000 0.0000 0.5000
0.3360 0.3360 0.1672
0.6640 0.6640 0.8328
0.1658 0.1658 0.0864
0.1678 0.1678 0.5742
0.4965 0.4965 0.7473
0.5035 0.5035 0.2527
0.8322 0.8322 0.4258
0.8342 0.8342 0.9136
```

Results
Uncorrected energy in Ry/atom: -0.2989
DOS at the Fermi energy in states/eV/atom: 0.599
Volume in Å³/cell: 460.60
Energy relative to the elements, uncorrected in meV per atom: -986


3.
Density functional theory data (PBE) for a relaxed TiPbAu crystal.

The structure in POSCAR format:
```
TiPbAu
1.0
3.1924 0.0000 0.0000
1.5925 5.2597 0.0000
0.0328 1.8046 7.6864
Ti Pb Au
2 2 2
Direct
0.1387 0.2238 0.4531
0.8613 0.7762 0.5469
0.3407 0.8113 0.8702
0.6593 0.1887 0.1298
0.4146 0.6754 0.2869
0.5854 0.3246 0.7131
```

Results
Uncorrected energy in Ry/atom: -0.3723
DOS at the Fermi energy in states/eV/atom: 0.698
DFT formation energy in eV/atom: -0.105
Volume in Å³/cell: 129.06


4.
Density functional theory data (PBE) for a relaxed Ca2TcRu crystal.

The structure in POSCAR format:
```
Ca2TcRu
1.0
2.7126 -4.6669 0.0000
2.7126 4.6669 0.0000
-0.1189 0.0000 3.0985
Ca Tc Ru
2 1 1
Direct
0.0000 0.5000 0.0000
0.5000 0.0000 0.0000
0.0000 0.0000 0.5000
0.5000 0.5000 0.5000
```

Results
Uncorrected energy in Ry/atom: -0.3857
DOS at the Fermi energy in states/eV/atom: 1.011
DFT formation energy in eV/atom: 0.663
Energy above the lowest structure with this stoichiometry in meV/atom: 449
Volume in Å³/cell: 78.45